Compound: Zr6Al16Pd7
Source: Alexandria
Functional: PBE
Structure: optimized geometry

a b c (Å): 8.797 8.797 8.797
angles (deg): 60.00 60.00 60.00
Fractional positions:
1 Zr 0.187 0.187 0.813
2 Zr 0.187 0.813 0.187
3 Zr 0.187 0.813 0.813
4 Zr 0.813 0.187 0.187
5 Zr 0.813 0.187 0.813
6 Zr 0.813 0.813 0.187
7 Al 0.139 0.620 0.620
8 Al 0.166 0.166 0.166
9 Al 0.166 0.166 0.503
10 Al 0.166 0.503 0.166
11 Al 0.380 0.380 0.380
12 Al 0.380 0.380 0.861
13 Al 0.380 0.861 0.380
14 Al 0.497 0.834 0.834
15 Al 0.503 0.166 0.166
16 Al 0.620 0.139 0.620
17 Al 0.620 0.620 0.139
18 Al 0.620 0.620 0.620
19 Al 0.834 0.497 0.834
20 Al 0.834 0.834 0.497
21 Al 0.834 0.834 0.834
22 Al 0.861 0.380 0.380
23 Pd 0.000 0.000 0.500
24 Pd 0.000 0.500 0.000
25 Pd 0.000 0.500 0.500
26 Pd 0.500 0.000 0.000
27 Pd 0.500 0.000 0.500
28 Pd 0.500 0.500 0.000
29 Pd 0.500 0.500 0.500

As for the magnetic moment: 0.00 μB per formula unit. The value obtained for the formation enthalpy at 0 K is -0.754 eV per atom. The space-group type is No. 225. The total energy comes out at -5.8406 eV/atom.

---

Compound: Zr3Al4Pd8
Source: Alexandria
Functional: PBE
Structure: optimized geometry

a b c (Å): 8.858 8.858 8.858
angles (deg): 60.00 60.00 60.00
Fractional positions:
1 Zr 0.221 0.221 0.779
2 Zr 0.221 0.779 0.221
3 Zr 0.221 0.779 0.779
4 Zr 0.779 0.221 0.221
5 Zr 0.779 0.221 0.779
6 Zr 0.779 0.779 0.221
7 Al 0.000 0.000 0.000
8 Al 0.000 0.000 0.500
9 Al 0.000 0.500 0.000
10 Al 0.000 0.500 0.500
11 Al 0.500 0.000 0.000
12 Al 0.500 0.000 0.500
13 Al 0.500 0.500 0.000
14 Al 0.500 0.500 0.500
15 Pd 0.145 0.618 0.618
16 Pd 0.162 0.162 0.162
17 Pd 0.162 0.162 0.514
18 Pd 0.162 0.514 0.162
19 Pd 0.382 0.382 0.382
20 Pd 0.382 0.382 0.855
21 Pd 0.382 0.855 0.382
22 Pd 0.486 0.838 0.838
23 Pd 0.514 0.162 0.162
24 Pd 0.618 0.145 0.618
25 Pd 0.618 0.618 0.145
26 Pd 0.618 0.618 0.618
27 Pd 0.838 0.486 0.838
28 Pd 0.838 0.838 0.486
29 Pd 0.838 0.838 0.838
30 Pd 0.855 0.382 0.382

As for the magnetic moment: 0.00 μB per formula unit. The value obtained for the formation enthalpy at 0 K is -0.813 eV per atom. The space-group type is No. 225. The total energy comes out at -6.2897 eV/atom.

---

Compound: ZrAl2Pd2
Source: Alexandria
Functional: PBE
Structure: optimized geometry

a b c (Å): 7.616 7.616 2.813
angles (deg): 90.00 90.00 90.00
Fractional positions:
1 Zr 0.000 0.000 0.000
2 Zr 0.500 0.500 0.000
3 Al 0.130 0.370 0.000
4 Al 0.370 0.870 0.000
5 Al 0.630 0.130 0.000
6 Al 0.870 0.630 0.000
7 Pd 0.165 0.665 0.500
8 Pd 0.335 0.165 0.500
9 Pd 0.665 0.835 0.500
10 Pd 0.835 0.335 0.500

As for the magnetic moment: 0.00 μB per formula unit. The value obtained for the energy above the most stable polymorph in this dataset is 16 meV/atom. The value obtained for the formation enthalpy at 0 K is -0.695 eV per atom. The space-group type is No. 127. The total energy comes out at -5.9787 eV/atom.

---

Q: Which formula does entry 1 have?
A: Zr6Al16Pd7

---

Please write out number 2 again, unchanged.
Compound: Zr3Al4Pd8
Source: Alexandria
Functional: PBE
Structure: optimized geometry

a b c (Å): 8.858 8.858 8.858
angles (deg): 60.00 60.00 60.00
Fractional positions:
1 Zr 0.221 0.221 0.779
2 Zr 0.221 0.779 0.221
3 Zr 0.221 0.779 0.779
4 Zr 0.779 0.221 0.221
5 Zr 0.779 0.221 0.779
6 Zr 0.779 0.779 0.221
7 Al 0.000 0.000 0.000
8 Al 0.000 0.000 0.500
9 Al 0.000 0.500 0.000
10 Al 0.000 0.500 0.500
11 Al 0.500 0.000 0.000
12 Al 0.500 0.000 0.500
13 Al 0.500 0.500 0.000
14 Al 0.500 0.500 0.500
15 Pd 0.145 0.618 0.618
16 Pd 0.162 0.162 0.162
17 Pd 0.162 0.162 0.514
18 Pd 0.162 0.514 0.162
19 Pd 0.382 0.382 0.382
20 Pd 0.382 0.382 0.855
21 Pd 0.382 0.855 0.382
22 Pd 0.486 0.838 0.838
23 Pd 0.514 0.162 0.162
24 Pd 0.618 0.145 0.618
25 Pd 0.618 0.618 0.145
26 Pd 0.618 0.618 0.618
27 Pd 0.838 0.486 0.838
28 Pd 0.838 0.838 0.486
29 Pd 0.838 0.838 0.838
30 Pd 0.855 0.382 0.382

As for the magnetic moment: 0.00 μB per formula unit. The value obtained for the formation enthalpy at 0 K is -0.813 eV per atom. The space-group type is No. 225. The total energy comes out at -6.2897 eV/atom.